Here is a geometry-optimized Ba2TeCl4O2 structure from Alexandria via LeMat-Bulk. Energies are from GGA-PBE.

Calculated values
* E: -4.37 eV/atom
* symmetry: No. 12

```
9
Lattice="5.6965 -3.9296 0.0000 5.6965 3.9296 0.0000 -1.1136 0.0000 5.1693" Properties=species:S:1:pos:R:3 pbc="T T T"
Ba 1.7536 0.0000 1.6588
Ba 8.5259 0.0000 3.5106
Te 5.6965 0.0000 0.0000
Cl 4.2450 2.2059 1.0970
Cl 6.0345 2.2059 4.0723
Cl 4.2450 -2.2059 1.0970
Cl 6.0345 -2.2059 4.0723
O 3.3008 0.0000 3.6737
O 6.9787 0.0000 1.4956
```

---

Here is a geometry-optimized Re3Ag structure from Alexandria via LeMat-Bulk. Energies are from GGA-PBE.

Calculated values
* E: -9.61 eV/atom
* ΔE to the lowest computed polymorph: 163 meV per atom
* symmetry: No. 194
* energy of formation: 42.4 kJ per mole of atoms

```
8
Lattice="5.5899 0.0000 0.0000 -2.7949 4.8410 0.0000 0.0000 0.0000 4.5215" Properties=species:S:1:pos:R:3 pbc="T T T"
Re 0.0000 1.5556 1.1304
Re -1.4478 4.0632 1.1304
Re 1.3472 0.7778 3.3911
Re 1.4478 4.0632 1.1304
Re 4.2427 0.7778 3.3911
Re 2.7949 3.2854 3.3911
Ag 0.0000 3.2273 3.3911
Ag 2.7950 1.6137 1.1304
```

---

Here is a geometry-optimized AcHoTl structure from Alexandria via LeMat-Bulk. Energies are from GGA-PBE.

Calculated values
* E: -3.87 eV/atom
* ΔE to the lowest computed polymorph: 62 meV per atom
* symmetry: No. 107
* energy of formation: -18.3 kJ per mole of atoms

```
6
Lattice="3.8217 0.0000 0.0000 0.0000 3.8217 0.0000 0.0000 0.0000 13.8501" Properties=species:S:1:pos:R:3 pbc="T T T"
Ac 0.0000 0.0000 0.0000
Ac 1.9108 1.9108 6.9251
Ho 0.0000 0.0000 4.2321
Ho 1.9108 1.9108 11.1572
Tl 0.0000 0.0000 9.3472
Tl 1.9108 1.9108 2.4222
```